No. 1
# PmSmIn2Se4 PBE-GGA optimized geometry
data_PmSmIn2Se4
_symmetry_space_group_name_H-M 'P 1 2/m 1'
_symmetry_Int_Tables_number 10
_cell_length_a 7.356
_cell_length_b 4.247
_cell_length_c 8.107
_cell_angle_alpha 90.00
_cell_angle_beta 107.59
_cell_angle_gamma 90.00
loop_
_symmetry_equiv_pos_as_xyz
'x,y,z'
'-x,-y,-z'
'-x,y,-z'
'x,-y,z'
loop_
_atom_site_label
_atom_site_type_symbol
_atom_site_fract_x
_atom_site_fract_y
_atom_site_fract_z
Pm1 Pm 0.000 0.000 0.000
Sm1 Sm 0.500 0.500 0.000
In1 In 0.000 0.500 0.500
In2 In 0.500 0.000 0.500
Se1 Se 0.239 0.500 0.214
Se2 Se 0.263 0.000 0.787
# raw formation energy = -1.30 eV/atom
# VASP energy = -39.26 eV per formula unit
# size of the total moment = 0.0 μB per cell

=====

No. 2
# Y2P2Ru PBE-GGA optimized geometry
data_Y2P2Ru
_symmetry_space_group_name_H-M 'P 4/m b m'
_symmetry_Int_Tables_number 127
_symmetry_space_group_name_Hall '-P 4 2ab'
_cell_length_a 6.414
_cell_length_b 6.414
_cell_length_c 4.361
_cell_angle_alpha 90.00
_cell_angle_beta 90.00
_cell_angle_gamma 90.00
loop_
_atom_site_label
_atom_site_type_symbol
_atom_site_fract_x
_atom_site_fract_y
_atom_site_fract_z
Y1 Y 0.176 0.324 0.000
P1 P 0.136 0.636 0.500
Ru1 Ru 0.000 0.000 0.500
# VASP energy = -38.33 eV per formula unit
# size of the total moment = 0.0 μB per cell
# DFT formation energy = -1.061 eV per atom

=====

Repeat the first record exactly.
# PmSmIn2Se4 PBE-GGA optimized geometry
data_PmSmIn2Se4
_symmetry_space_group_name_H-M 'P 1 2/m 1'
_symmetry_Int_Tables_number 10
_cell_length_a 7.356
_cell_length_b 4.247
_cell_length_c 8.107
_cell_angle_alpha 90.00
_cell_angle_beta 107.59
_cell_angle_gamma 90.00
loop_
_symmetry_equiv_pos_as_xyz
'x,y,z'
'-x,-y,-z'
'-x,y,-z'
'x,-y,z'
loop_
_atom_site_label
_atom_site_type_symbol
_atom_site_fract_x
_atom_site_fract_y
_atom_site_fract_z
Pm1 Pm 0.000 0.000 0.000
Sm1 Sm 0.500 0.500 0.000
In1 In 0.000 0.500 0.500
In2 In 0.500 0.000 0.500
Se1 Se 0.239 0.500 0.214
Se2 Se 0.263 0.000 0.787
# raw formation energy = -1.30 eV/atom
# VASP energy = -39.26 eV per formula unit
# size of the total moment = 0.0 μB per cell

=====

Question: Look up the VASP energy of the first one.
Answer: -39.26 eV per formula unit

=====

Question: size of the total moment of number 2 (Y2P2Ru)?
Answer: 0.0 μB per cell

=====

Question: Which value of size of the total moment does entry 1 give?
Answer: 0.0 μB per cell